The following is a DFT calculation (GGA-PBEsol) of an optimized crystal structure of ScNb2Tl.

```
4
Lattice="4.774 0.000 0.000 2.387 4.135 0.000 2.387 1.378 3.898" Properties=species:S:1:pos:R:3 pbc="T T T"
Sc 0.000 0.000 0.000
Tl 4.774 2.756 1.949
Nb 2.387 1.378 0.975
Nb 7.161 4.135 2.924
```

Results
The size of the total moment is 0.00 μB per cell. The value obtained for the total energy is -7.325 eV per atom. The calculation puts the formation energy at 152 kJ/mol of formula units.